## CsVPbS4 (PBE)

Data for a relaxed structure of CsVPbS4.

Calculated values
Total energy, eV per atom: -5.211
Magnetic moment, μB per formula unit: 0.0
Density of states at the Fermi level, states/eV per cell: 0.00

Cell lengths 6.873, 7.002, 9.355 Å; angles 90.00, 107.13, 90.00 degrees
Fractional coordinates of all 14 atoms:
1 S 0.599 0.250 0.445
2 S 0.395 0.750 0.178
3 S 0.993 0.004 0.706
4 S 0.993 0.496 0.706
5 S 0.007 0.504 0.294
6 S 0.007 0.996 0.294
7 S 0.401 0.750 0.555
8 S 0.605 0.250 0.822
9 V 0.208 0.750 0.328
10 V 0.792 0.250 0.672
11 Cs 0.273 0.250 0.068
12 Cs 0.727 0.750 0.932
13 Pb 0.757 0.750 0.447
14 Pb 0.243 0.250 0.553

## Cs3V2PbS8 (PBE)

Data for a relaxed structure of Cs3V2PbS8.

Calculated values
Total energy, eV per atom: -4.991
Magnetic moment, μB per formula unit: 0.9
Density of states at the Fermi level, states/eV per cell: 14.21

Cell lengths 7.398, 7.398, 9.901 Å; angles 90.00, 90.00, 120.00 degrees
Last column: magnetic moment on the atom in μB.
Fractional coordinates of all 14 atoms:
1 S 0.654 0.827 0.309  0.06
2 S 0.346 0.173 0.691  0.06
3 S 0.173 0.346 0.309  0.06
4 S 0.667 0.333 0.973  0.13
5 S 0.333 0.667 0.027  0.13
6 S 0.827 0.173 0.691  0.06
7 S 0.173 0.827 0.309  0.06
8 S 0.827 0.654 0.691  0.06
9 Cs 0.000 0.000 0.000  0.00
10 Cs 0.333 0.667 0.663  0.00
11 Cs 0.667 0.333 0.337  0.00
12 V 0.667 0.333 0.760  -0.07
13 V 0.333 0.667 0.240  -0.07
14 Pb 0.000 0.000 0.500  0.00

## Cs2PbWS4 (PBE)

Data for a relaxed structure of Cs2PbWS4.

Calculated values
Total energy, eV per atom: -4.939
Magnetic moment, μB per formula unit: 0.1
Density of states at the Fermi level, states/eV per cell: 9.72

Cell lengths 6.216, 8.201, 13.257 Å; angles 84.90, 76.44, 67.73 degrees
Fractional coordinates of all 16 atoms:
1 Cs 0.574 0.500 0.851
2 Cs 0.824 0.000 0.351
3 Cs 0.176 0.000 0.649
4 Cs 0.926 0.500 0.149
5 Pb 0.000 0.000 0.000
6 Pb 0.750 0.500 0.500
7 W 0.250 0.500 0.500
8 W 0.500 0.000 0.000
9 S 0.375 0.696 0.389
10 S 0.821 0.804 0.889
11 S 0.929 0.696 0.611
12 S 0.460 0.304 0.611
13 S 0.236 0.304 0.389
14 S 0.290 0.196 0.889
15 S 0.375 0.804 0.111
16 S 0.514 0.196 0.111

## Cs3Y2PbS6 (PBE)

Data for a relaxed structure of Cs3Y2PbS6.

Calculated values
Total energy, eV per atom: -5.083
Magnetic moment, μB per formula unit: 0.0
Density of states at the Fermi level, states/eV per cell: 4.73

Cell lengths 7.213, 7.213, 8.405 Å; angles 98.19, 98.19, 120.03 degrees
Fractional coordinates of all 12 atoms:
1 S 0.593 0.938 0.815
2 S 0.284 0.284 0.816
3 S 0.062 0.407 0.185
4 S 0.938 0.593 0.815
5 S 0.716 0.716 0.184
6 S 0.407 0.062 0.185
7 Y 0.333 0.667 0.000
8 Y 0.667 0.333 0.000
9 Cs 0.163 0.837 0.500
10 Cs 0.837 0.163 0.500
11 Cs 0.500 0.500 0.500
12 Pb 0.000 0.000 0.000

## Cs2SbPb7 (PBE)

Data for a relaxed structure of Cs2SbPb7.

Calculated values
Total energy, eV per atom: -3.307
Magnetic moment, μB per formula unit: 0.0
Density of states at the Fermi level, states/eV per cell: 4.06

Cell lengths 5.406, 5.406, 13.579 Å; angles 90.00, 90.00, 90.00 degrees
Fractional coordinates of all 10 atoms:
1 Pb 0.500 0.500 0.500
2 Pb 0.500 0.000 0.368
3 Pb 0.500 0.000 0.125
4 Pb 0.000 0.500 0.875
5 Pb 0.000 0.000 0.000
6 Pb 0.000 0.000 0.500
7 Pb 0.000 0.500 0.632
8 Cs 0.000 0.500 0.246
9 Cs 0.500 0.000 0.754
10 Sb 0.500 0.500 0.000

## Cs5Sb4Pb4 (PBE)

Data for a relaxed structure of Cs5Sb4Pb4.

Calculated values
Total energy, eV per atom: -3.029
Magnetic moment, μB per formula unit: 0.0
Density of states at the Fermi level, states/eV per cell: 3.06

Cell lengths 5.486, 10.682, 10.682 Å; angles 86.22, 75.12, 75.12 degrees
Fractional coordinates of all 13 atoms:
1 Sb 0.039 0.237 0.685
2 Sb 0.724 0.315 0.237
3 Sb 0.276 0.685 0.763
4 Sb 0.961 0.763 0.315
5 Cs 0.356 0.352 0.936
6 Cs 0.000 0.000 0.000
7 Cs 0.708 0.936 0.648
8 Cs 0.292 0.064 0.352
9 Cs 0.644 0.648 0.064
10 Pb 0.559 0.340 0.542
11 Pb 0.899 0.542 0.660
12 Pb 0.101 0.458 0.340
13 Pb 0.441 0.660 0.458